## i
This record from Alexandria describes a geometry-optimized Ge3SBr structure. The functional is PBE.

a = 5.1973 Å, b = 5.1973 Å, c = 5.1973 Å
α = 90.00°, β = 90.00°, γ = 90.00°
Positions (direct):
Ge: 0.0000 0.0000 0.5000
Ge: 0.0000 0.5000 0.0000
Ge: 0.5000 0.0000 0.0000
S: 0.5000 0.5000 0.5000
Br: 0.0000 0.0000 0.0000

Output
DOS at the Fermi energy	7.3	states/eV per cell
V	28.08	Å³/atom
crystal system	cubic
magnetic moment	0.000	μB/atom



## ii
This record from Alexandria describes a geometry-optimized Ge3SBr structure. The functional is PBE.

a = 5.1109 Å, b = 5.1109 Å, c = 5.1109 Å
α = 90.00°, β = 90.00°, γ = 90.00°
Positions (direct):
Ge: 0.0000 0.0000 0.5000
Ge: 0.0000 0.5000 0.0000
Ge: 0.5000 0.0000 0.0000
S: 0.0000 0.0000 0.0000
Br: 0.5000 0.5000 0.5000

Output
DOS at the Fermi energy	3.8	states/eV per cell
V	26.70	Å³/atom
crystal system	cubic
magnetic moment	0.249	μB/atom



Relative energy table, unit meV/atom: i 619; ii 0



## i
This record from Alexandria describes a geometry-optimized GeSeSBr2 structure. The functional is PBE.

a = 5.0779 Å, b = 5.0779 Å, c = 5.0288 Å
α = 90.00°, β = 90.00°, γ = 90.00°
Positions (direct):
Ge: 0.0000 0.0000 0.0000
Se: 0.5000 0.5000 0.0000
S: 0.5000 0.5000 0.5000
Br: 0.0000 0.5000 0.5000
Br: 0.5000 0.0000 0.5000

Output
DOS at the Fermi energy	4.0	states/eV per cell
V	25.93	Å³/atom
crystal system	tetragonal
magnetic moment	0.000	μB/atom



## ii
This record from Alexandria describes a geometry-optimized GeSeSBr2 structure. The functional is PBE.

a = 5.2998 Å, b = 5.2998 Å, c = 5.2055 Å
α = 90.00°, β = 90.00°, γ = 90.00°
Positions (direct):
Ge: 0.0000 0.0000 0.0000
Se: 0.0000 0.0000 0.5000
S: 0.5000 0.5000 0.5000
Br: 0.0000 0.5000 0.0000
Br: 0.5000 0.0000 0.0000

Output
DOS at the Fermi energy	3.7	states/eV per cell
V	29.24	Å³/atom
crystal system	tetragonal
magnetic moment	0.662	μB/atom



Relative energy table, unit meV/atom: i 0; ii 47